A geometry-optimized HfNbHg2 structure, computed with GGA-PBE.

Calculated values
Crystal system   cubic
Spin magnetization   1.4 μB per cell
Formation energy from the elements   0.500 eV/atom
Raw total energy   -18.65 eV for the cell shown

Cell: 4.8913 4.8913 4.8913 Å, 60.00 60.00 60.00°
Sites, in units of the cell vectors:
Hf: 0.0000 0.0000 0.0000
Nb: 0.7500 0.7500 0.7500
Hg: 0.2500 0.2500 0.2500
Hg: 0.5000 0.5000 0.5000

=====

A geometry-optimized TbTaPb structure, computed with GGA-PBE.

Calculated values
Crystal system   cubic
Spin magnetization   0.9 μB per cell
Raw total energy   -18.24 eV for the cell shown

Cell: 4.8822 4.8822 4.8822 Å, 60.00 60.00 60.00°
Sites, in units of the cell vectors:
Tb: 0.0000 0.0000 0.0000
Ta: 0.5000 0.5000 0.5000
Pb: 0.7500 0.7500 0.7500

=====

A geometry-optimized Zr3CdP structure, computed with GGA-PBE.

Calculated values
Crystal system   orthorhombic
Spin magnetization   0.0 μB per cell
Raw total energy   -69.83 eV for the cell shown

Cell: 6.1750 6.1750 9.9318 Å, 90.00 90.00 145.39°
Sites, in units of the cell vectors:
Zr: 0.0426 0.9574 0.7500
Zr: 0.3586 0.6414 0.5510
Zr: 0.3586 0.6414 0.9490
Zr: 0.6414 0.3586 0.0510
Zr: 0.6414 0.3586 0.4490
Zr: 0.9574 0.0426 0.2500
Cd: 0.2530 0.7470 0.2500
Cd: 0.7470 0.2530 0.7500
P: 0.0000 0.0000 0.0000
P: 0.0000 0.0000 0.5000

=====

A geometry-optimized Pm2Pr4Hg structure, computed with GGA-PBE.

Calculated values
Crystal system   monoclinic
Spin magnetization   0.0 μB per cell
Formation energy from the elements   0.268 eV/atom
Raw total energy   -27.01 eV for the cell shown

Cell: 8.2753 8.2753 3.6124 Å, 90.03 90.03 97.98°
Sites, in units of the cell vectors:
Pm: 0.0000 0.5000 0.0000
Pm: 0.5000 0.0000 0.0000
Pr: 0.2036 0.7964 0.5000
Pr: 0.2229 0.2229 0.9957
Pr: 0.7771 0.7771 0.0043
Pr: 0.7964 0.2036 0.5000
Hg: 0.5000 0.5000 0.5000

=====

A geometry-optimized TlAg3PtSe4 structure, computed with GGA-PBE.

Calculated values
Crystal system   cubic
Spin magnetization   0.2 μB per cell
Raw total energy   -31.02 eV for the cell shown

Cell: 6.2706 6.2706 6.2706 Å, 90.00 90.00 90.00°
Sites, in units of the cell vectors:
Tl: 0.0000 0.0000 0.0000
Ag: 0.0000 0.5000 0.5000
Ag: 0.5000 0.0000 0.5000
Ag: 0.5000 0.5000 0.0000
Pt: 0.5000 0.5000 0.5000
Se: 0.2664 0.2664 0.2664
Se: 0.2664 0.7336 0.7336
Se: 0.7336 0.2664 0.7336
Se: 0.7336 0.7336 0.2664

=====

A geometry-optimized CuAg6 structure, computed with GGA-PBE.

Calculated values
Crystal system   monoclinic
Formation energy from the elements   0.040 eV/atom
Raw total energy   -20.38 eV for the cell shown

Cell: 5.0134 5.0134 8.5817 Å, 94.97 94.97 33.66°
Sites, in units of the cell vectors:
Cu: 0.0000 0.0000 0.0000
Ag: 0.1408 0.1408 0.5697
Ag: 0.2940 0.2940 0.1372
Ag: 0.4260 0.4260 0.7283
Ag: 0.5740 0.5740 0.2717
Ag: 0.7060 0.7060 0.8628
Ag: 0.8592 0.8592 0.4303

=====

A geometry-optimized Ga2NiTe structure, computed with GGA-PBE.

Calculated values
Crystal system   cubic
Spin magnetization   0.0 μB per cell
Raw total energy   -14.04 eV for the cell shown

Cell: 4.7343 4.7343 4.7343 Å, 60.00 60.00 60.00°
Sites, in units of the cell vectors:
Ga: 0.0000 0.0000 0.0000
Ga: 0.2500 0.2500 0.2500
Ni: 0.7500 0.7500 0.7500
Te: 0.5000 0.5000 0.5000

=====

A geometry-optimized UTlBi structure, computed with GGA-PBE.

Calculated values
Crystal system   cubic
Spin magnetization   3.3 μB per cell
Raw total energy   -16.32 eV for the cell shown

Cell: 5.2546 5.2546 5.2546 Å, 60.00 60.00 60.00°
Sites, in units of the cell vectors:
U: 0.0000 0.0000 0.0000
Tl: 0.2500 0.2500 0.2500
Bi: 0.7500 0.7500 0.7500